The following is a DFT calculation (GGA-PBEsol) of an optimized crystal structure of LaBPt4.

a b c (Å): 5.4446 5.4446 7.6414
angles (deg): 90.00 90.00 120.00
Last column: nearest neighbours and their distance in Å.
Atoms (fractional coordinates):
La1 0.0000 0.0000 0.0000  12 Pt 3.13, 6 B 3.14
La2 0.0000 0.0000 0.5000  6 Pt 3.14
B1 0.3333 0.6667 0.0000  6 Pt 2.20
B2 0.6667 0.3333 0.0000  6 Pt 2.20
Pt1 0.0000 0.5000 0.2015  2 B 2.20
Pt2 0.0000 0.5000 0.7985  2 B 2.20
Pt3 0.3333 0.6667 0.5000  6 Pt 2.77
Pt4 0.5000 0.0000 0.2015  2 B 2.20
Pt5 0.5000 0.0000 0.7985  2 B 2.20
Pt6 0.5000 0.5000 0.2015  2 B 2.20
Pt7 0.5000 0.5000 0.7985  2 B 2.20
Pt8 0.6667 0.3333 0.5000  6 Pt 2.77

Values from the calculation:
Formation energy from the elements = -4.9 eV/f.u.
Space-group type = P6/mmm, No. 191
DOS(E_F) = 1.8 states/eV/f.u.